Entry 1:
Compound: Na4B7C
Source: the Alexandria database
Functional: PBE-GGA
Structure: optimized geometry

```
Na4B7C
1.0
-7.134 -2.132 -5.318
-6.307 -4.854 -4.516
-3.805 1.651 9.518
Na C B
8 2 14
Direct
0.499 0.499 0.250
0.249 0.249 0.125
0.501 0.501 0.751
0.251 0.251 0.625
0.001 0.001 0.001
0.749 0.749 0.875
0.999 0.999 0.499
0.751 0.751 0.376
0.625 0.625 0.471
0.125 0.125 0.237
0.875 0.875 0.274
0.625 0.625 0.991
0.625 0.625 0.163
0.876 0.876 0.101
0.875 0.875 0.774
0.625 0.625 0.623
0.875 0.875 0.601
0.376 0.376 0.024
0.125 0.125 0.725
0.125 0.125 0.892
0.375 0.375 0.852
0.375 0.375 0.524
0.125 0.125 0.394
0.375 0.375 0.351
```

Properties
**DFT formation energy**: 0.237 eV/atom


Entry 2:
Compound: PaSi3Ir
Source: the Alexandria database
Functional: PBE-GGA
Structure: optimized geometry

```
PaSi3Ir
1.0
5.625 0.000 0.000
0.000 5.499 -0.001
0.000 0.001 5.843
Pa Si Ir
2 6 2
Direct
0.423 0.317 0.701
0.923 0.036 0.201
0.382 0.247 0.201
0.454 0.868 0.984
0.954 0.484 0.484
0.882 0.106 0.701
0.954 0.484 0.917
0.454 0.868 0.417
0.165 0.792 0.701
0.665 0.561 0.201
```

Properties
**Uncorrected formation energy**: -62 kJ per mole of atoms


Entry 3:
Compound: NaZrBi2O6
Source: the Alexandria database
Functional: PBE-GGA
Structure: optimized geometry

```
NaZrBi2O6
1.0
-4.576 0.592 3.580
-5.417 -0.817 -2.025
-3.029 -5.098 1.736
Na Zr Bi O
1 1 2 6
Direct
0.803 0.803 0.591
0.312 0.312 0.063
0.522 0.522 0.433
0.019 0.019 0.944
0.598 0.205 0.233
0.205 0.964 0.233
0.964 0.598 0.233
0.391 0.697 0.761
0.697 0.151 0.761
0.151 0.391 0.761
```

Properties
**Uncorrected formation energy**: -176 kJ per mole of atoms


Entry 4:
Compound: SmTmGeIr
Source: the Alexandria database
Functional: PBE-GGA
Structure: optimized geometry

```
SmTmGeIr
1.0
-0.222 0.478 -4.101
3.690 -1.688 -0.396
-2.159 -5.095 1.607
Sm Tm Ge Ir
1 1 1 1
Direct
0.146 0.000 0.291
0.864 0.500 0.729
0.571 0.500 0.142
0.419 0.000 0.838
```

Properties
**DFT formation energy**: -0.834 eV/atom


Entry 5:
Compound: SnPb
Source: the Alexandria database
Functional: PBE-GGA
Structure: optimized geometry

```
SnPb
1.0
-0.185 0.237 3.479
-2.370 -1.872 1.754
6.536 -8.993 2.711
Sn Pb
2 2
Direct
0.628 0.628 0.117
0.372 0.372 0.883
0.123 0.123 0.632
0.877 0.877 0.368
```

Properties
**DFT formation energy**: 0.040 eV/atom